[1]
# ZrAlCl

A relaxed structure of ZrAlCl (PBE-GGA, the Alexandria database).

- Total magnetization: 0.00 μB per atom
- Fermi-level density of states: 0.27 states/eV per atom
- ΔE to the lowest computed polymorph: 0.005 eV/atom

Cell lengths 13.9389, 3.2832, 5.7065 Å; angles 90.00, 90.63, 90.00 degrees
With the nearest neighbours (Å) after each atom.
Fractional positions:
1 Cl 0.3740 0.5000 0.1991  3 Zr 2.61
2 Cl 0.0949 0.5000 0.5509  3 Zr 2.62
3 Cl 0.3740 0.0000 0.6991  3 Zr 2.61
4 Cl 0.0949 0.0000 0.0509  3 Zr 2.62
5 Zr 0.5028 0.0000 0.0352  3 Cl 2.61, 3 Al 2.91
6 Zr 0.9658 0.5000 0.8801  3 Cl 2.62
7 Zr 0.9658 0.0000 0.3801  3 Cl 2.62
8 Zr 0.5028 0.5000 0.5352  3 Cl 2.61, 3 Al 2.91
9 Al 0.6614 0.0000 0.3724  3 Al 2.76-2.77, 3 Zr 2.91
10 Al 0.6614 0.5000 0.8724  3 Al 2.76-2.77, 3 Zr 2.91
11 Al 0.8056 0.5000 0.5433  3 Al 2.76-2.77, 3 Zr 2.93
12 Al 0.8056 0.0000 0.0433  3 Al 2.76-2.77, 3 Zr 2.93

=====

[2]
# ZrAlCl

A relaxed structure of ZrAlCl (PBE-GGA, the Alexandria database).

- Total magnetization: 0.00 μB per atom
- Fermi-level density of states: 0.41 states/eV per atom
- ΔE to the lowest computed polymorph: 0.027 eV/atom

Cell lengths 12.1586, 4.5600, 4.5619 Å; angles 90.00, 90.11, 90.00 degrees
With the nearest neighbours (Å) after each atom.
Fractional positions:
1 Zr 0.7128 0.0000 0.7511  4 Cl 2.81, 4 Al 2.95
2 Zr 0.2872 0.5000 0.7489  4 Cl 2.81, 4 Al 2.95
3 Zr 0.7128 0.5000 0.2511  4 Cl 2.81, 4 Al 2.95
4 Zr 0.2872 0.0000 0.2489  4 Cl 2.81, 4 Al 2.95
5 Cl 0.8476 0.0000 0.2519  4 Zr 2.81
6 Cl 0.1524 0.5000 0.2481  4 Zr 2.81
7 Cl 0.1524 0.0000 0.7481  4 Zr 2.81
8 Cl 0.8476 0.5000 0.7519  4 Zr 2.81
9 Al 0.5594 0.5000 0.7503  4 Al 2.70, 4 Zr 2.95
10 Al 0.4406 0.0000 0.7497  4 Al 2.70, 4 Zr 2.95
11 Al 0.4406 0.5000 0.2497  4 Al 2.70, 4 Zr 2.95
12 Al 0.5594 0.0000 0.2503  4 Al 2.70, 4 Zr 2.95

=====

[3]
# ZrAlCl

A relaxed structure of ZrAlCl (PBE-GGA, the Alexandria database).

- Total magnetization: 0.00 μB per atom
- Fermi-level density of states: 0.02 states/eV per atom
- ΔE to the lowest computed polymorph: 0.220 eV/atom

Cell lengths 3.2301, 3.2301, 8.2084 Å; angles 90.26, 90.17, 120.00 degrees
With the nearest neighbours (Å) after each atom.
Fractional positions:
1 Al 0.2860 0.8408 0.3880  3 Zr 2.91, 6 Al 3.23
2 Zr 0.9576 0.1797 0.6600  3 Cl 2.60, 3 Al 2.91
3 Cl 0.6283 0.5175 0.8808  3 Zr 2.60

=====

[4]
# ZrAlCl

A relaxed structure of ZrAlCl (PBE-GGA, the Alexandria database).

- Total magnetization: 0.00 μB per atom
- Fermi-level density of states: 0.07 states/eV per atom
- ΔE to the lowest computed polymorph: 0.004 eV/atom

Cell lengths 12.5492, 4.0260, 5.1665 Å; angles 90.00, 90.34, 90.00 degrees
With the nearest neighbours (Å) after each atom.
Fractional positions:
1 Al 0.6712 0.0000 0.7317  2 Al 2.56, 2 Zr 2.77
2 Al 0.7970 0.5000 0.7335  2 Al 2.56, 2 Zr 2.77
3 Al 0.6712 0.5000 0.2317  2 Al 2.56, 2 Zr 2.77
4 Al 0.7970 0.0000 0.2335  2 Al 2.56, 2 Zr 2.77
5 Cl 0.3818 0.0000 0.8573  3 Zr 2.60-2.73
6 Cl 0.0864 0.5000 0.8675  3 Zr 2.60-2.73
7 Cl 0.3818 0.5000 0.3573  3 Zr 2.60-2.73
8 Cl 0.0864 0.0000 0.3675  3 Zr 2.60-2.73
9 Zr 0.9486 0.0000 0.7404  3 Cl 2.60-2.73, 2 Al 2.77
10 Zr 0.5196 0.0000 0.2341  3 Cl 2.60-2.73, 2 Al 2.77
11 Zr 0.9486 0.5000 0.2404  3 Cl 2.60-2.73, 2 Al 2.77
12 Zr 0.5196 0.5000 0.7341  3 Cl 2.60-2.73, 2 Al 2.77

=====

[5]
# ZrAlCl2

A relaxed structure of ZrAlCl2 (PBE-GGA, the Alexandria database).

- Total magnetization: 0.04 μB per atom
- Fermi-level density of states: 0.73 states/eV per atom
- ΔE to the lowest computed polymorph: 0.000 eV/atom

Cell lengths 9.7894, 9.7894, 9.7894 Å; angles 19.43, 19.43, 19.43 degrees
With the nearest neighbours (Å) after each atom.
Fractional positions:
1 Al 0.7512 0.7512 0.7512  3 Cl 2.54
2 Cl 0.0266 0.0266 0.0266  3 Al 2.54
3 Cl 0.2253 0.2253 0.2253  3 Zr 2.61
4 Zr 0.4969 0.4969 0.4969  3 Cl 2.61

=====

[6]
# ZrAlCl

A relaxed structure of ZrAlCl (PBE-GGA, the Alexandria database).

- Total magnetization: 0.00 μB per atom
- Fermi-level density of states: 0.15 states/eV per atom
- ΔE to the lowest computed polymorph: 0.208 eV/atom

Cell lengths 3.1974, 4.9751, 9.1023 Å; angles 75.09, 87.07, 89.99 degrees
With the nearest neighbours (Å) after each atom.
Fractional positions:
1 Cl 0.8924 0.1251 0.8855  3 Zr 2.57-2.67
2 Cl 0.3932 0.7068 0.7078  1 Al 2.37
3 Zr 0.8524 0.5916 0.9573  4 Cl 2.57-2.72, 1 Al 2.79
4 Zr 0.9758 0.9843 0.1856  1 Cl 2.67, 4 Al 2.71-2.88
5 Al 0.3989 0.4603 0.2368  6 Zr 2.79-3.12, 2 Al 3.05-3.07
6 Al 0.4239 0.8621 0.4386  1 Cl 2.37

=====

[7]
# ZrAlCl

A relaxed structure of ZrAlCl (PBE-GGA, the Alexandria database).

- Total magnetization: 0.00 μB per atom
- Fermi-level density of states: 0.36 states/eV per atom
- ΔE to the lowest computed polymorph: 0.000 eV/atom

Cell lengths 3.2141, 22.2137, 4.2348 Å; angles 90.00, 90.00, 90.00 degrees
With the nearest neighbours (Å) after each atom.
Fractional positions:
1 Zr 0.5000 0.9133 0.2500  2 Cl 2.56
2 Zr 0.5000 0.0867 0.7500  2 Cl 2.56
3 Zr 0.0000 0.5867 0.7500  2 Cl 2.56
4 Zr 0.0000 0.4133 0.2500  2 Cl 2.56
5 Cl 0.0000 0.8238 0.2500  2 Zr 2.56
6 Cl 0.5000 0.3238 0.2500  2 Zr 2.56
7 Cl 0.5000 0.6762 0.7500  2 Zr 2.56
8 Cl 0.0000 0.1762 0.7500  2 Zr 2.56
9 Al 0.5000 0.5329 0.2500  2 Al 2.57
10 Al 0.5000 0.4671 0.7500  2 Al 2.57
11 Al 0.0000 0.0329 0.2500  2 Al 2.57
12 Al 0.0000 0.9671 0.7500  2 Al 2.57

=====

[8]
# ZrAlCl

A relaxed structure of ZrAlCl (PBE-GGA, the Alexandria database).

- Total magnetization: 0.00 μB per atom
- Fermi-level density of states: 0.09 states/eV per atom
- ΔE to the lowest computed polymorph: 0.005 eV/atom

Cell lengths 12.7005, 4.0168, 5.1951 Å; angles 90.00, 97.67, 90.00 degrees
With the nearest neighbours (Å) after each atom.
Fractional positions:
1 Zr 0.2862 0.0000 0.6866  3 Cl 2.60-2.73, 2 Al 2.77
2 Zr 0.7138 0.0000 0.3134  3 Cl 2.60-2.73, 2 Al 2.77
3 Zr 0.7138 0.5000 0.8134  3 Cl 2.60-2.73, 2 Al 2.77
4 Zr 0.2862 0.5000 0.1866  3 Cl 2.60-2.73, 2 Al 2.77
5 Al 0.4373 0.5000 0.7118  2 Al 2.56, 2 Zr 2.77
6 Al 0.5627 0.0000 0.7882  2 Al 2.56, 2 Zr 2.77
7 Al 0.5627 0.5000 0.2882  2 Al 2.56, 2 Zr 2.77
8 Al 0.4373 0.0000 0.2118  2 Al 2.56, 2 Zr 2.77
9 Cl 0.8509 0.0000 0.7318  3 Zr 2.60-2.73
10 Cl 0.8509 0.5000 0.2318  3 Zr 2.60-2.73
11 Cl 0.1491 0.0000 0.2682  3 Zr 2.60-2.73
12 Cl 0.1491 0.5000 0.7682  3 Zr 2.60-2.73

=====

[9]
# ZrAlCl2

A relaxed structure of ZrAlCl2 (PBE-GGA, the Alexandria database).

- Total magnetization: 0.11 μB per atom
- Fermi-level density of states: 0.47 states/eV per atom
- ΔE to the lowest computed polymorph: 0.237 eV/atom

Cell lengths 3.2025, 3.2021, 8.7308 Å; angles 90.00, 90.00, 90.00 degrees
With the nearest neighbours (Å) after each atom.
Fractional positions:
1 Cl 0.5000 0.5000 0.3305  4 Zr 2.77
2 Cl 0.0000 0.0000 0.9200  4 Al 2.78
3 Zr 0.0000 0.0000 0.5142  4 Cl 2.77, 4 Al 2.98
4 Al 0.5000 0.5000 0.7353  4 Cl 2.78, 4 Zr 2.98

=====

[10]
# ZrAlCl

A relaxed structure of ZrAlCl (PBE-GGA, the Alexandria database).

- Total magnetization: 0.00 μB per atom
- Fermi-level density of states: 0.02 states/eV per atom
- ΔE to the lowest computed polymorph: 0.188 eV/atom

Cell lengths 3.1744, 6.1544, 13.3790 Å; angles 90.00, 102.04, 90.00 degrees
With the nearest neighbours (Å) after each atom.
Fractional positions:
1 Cl 0.4710 0.5000 0.3707  1 Al 2.46, 2 Zr 2.70
2 Cl 0.0188 0.0000 0.4048  4 Zr 2.78-2.82
3 Cl 0.0188 0.5000 0.9048  4 Zr 2.78-2.82
4 Cl 0.4710 0.0000 0.8707  1 Al 2.46, 2 Zr 2.70
5 Al 0.2563 0.0000 0.6830  1 Cl 2.46
6 Al 0.2563 0.5000 0.1830  1 Cl 2.46
7 Al 0.2406 0.0000 0.1701  4 Zr 2.82, 2 Al 3.08
8 Al 0.2406 0.5000 0.6701  4 Zr 2.82, 2 Al 3.08
9 Zr 0.6268 0.2557 0.0386  3 Cl 2.70-2.82, 4 Al 2.82-2.89, 1 Zr 3.01
10 Zr 0.6268 0.7443 0.0386  3 Cl 2.70-2.82, 4 Al 2.82-2.89, 1 Zr 3.01
11 Zr 0.6268 0.7557 0.5386  3 Cl 2.70-2.82, 4 Al 2.82-2.89, 1 Zr 3.01
12 Zr 0.6268 0.2443 0.5386  3 Cl 2.70-2.82, 4 Al 2.82-2.89, 1 Zr 3.01

=====

[11]
# ZrAlCl2

A relaxed structure of ZrAlCl2 (PBE-GGA, the Alexandria database).

- Total magnetization: 0.00 μB per atom
- Fermi-level density of states: 0.29 states/eV per atom
- ΔE to the lowest computed polymorph: 0.183 eV/atom

Cell lengths 7.1780, 7.1780, 5.1998 Å; angles 82.18, 82.18, 24.72 degrees
With the nearest neighbours (Å) after each atom.
Fractional positions:
1 Cl 0.3924 0.3924 0.5464  2 Zr 2.62, 1 Al 2.69
2 Cl 0.1076 0.1076 0.9536  2 Zr 2.62, 1 Al 2.69
3 Zr 0.7500 0.7500 0.7500  4 Cl 2.62
4 Al 0.2500 0.2500 0.2500  2 Cl 2.69

=====

[12]
# ZrAlCl

A relaxed structure of ZrAlCl (PBE-GGA, the Alexandria database).

- Total magnetization: 0.00 μB per atom
- Fermi-level density of states: 0.39 states/eV per atom
- ΔE to the lowest computed polymorph: 0.028 eV/atom

Cell lengths 3.2705, 3.2705, 14.2282 Å; angles 95.91, 90.15, 120.00 degrees
With the nearest neighbours (Å) after each atom.
Fractional positions:
1 Zr 0.0761 0.2074 0.5005  3 Cl 2.62
2 Zr 0.5568 0.1570 0.9693  3 Cl 2.61
3 Al 0.7926 0.6372 0.6594  3 Al 2.80-2.81, 3 Zr 2.93
4 Al 0.1722 0.3917 0.8063  3 Al 2.80-2.81, 3 Zr 2.98
5 Cl 0.7025 0.4630 0.3722  3 Zr 2.62
6 Cl 0.2636 0.5677 0.0970  3 Zr 2.61